A geometry-optimized Li3Fe2F8 structure. Source: Alexandria, functional GGA+U.

Summary:
energy	-132.1	eV per cell

a = 10.654 Å, b = 5.689 Å, c = 4.901 Å
α = 90.00°, β = 109.87°, γ = 90.00°
Space group C2/m (No. 12)
Inequivalent atoms, fractional coordinates:
Li  0.000  0.000  0.000 [2 per cell]
Li  0.000  0.267  0.500 [4 per cell]
Fe  0.236  0.500  0.183 [4 per cell]
F  0.111  0.500  0.392 [4 per cell]
F  0.114  0.000  0.437 [4 per cell]
F  0.128  0.235  0.917 [8 per cell]